# 1
{
  "formula": "MnTcP2",
  "functional": "PBE-GGA",
  "state": "relaxed",
  "polymorph_energy_mev_per_atom": 0,
  "dft_energy_ev_per_fu": -32.27,
  "e_form_ev_per_atom": -0.478,
  "lattice": [[-2.0637, -0.5373, -5.4816], [-2.2448, -4.3079, -3.3165], [0.1558, 2.9025, 5.1134]],
  "species": ["Tc", "Mn", "P", "P"],
  "fractional_positions": [[0.4566, 0.4566, 0.0000], [0.2069, 0.7069, 0.5000], [0.0517, 0.0517, 0.0000], [0.7848, 0.2848, 0.5000]]
}


# 2
{
  "formula": "MnTc2P",
  "functional": "PBE-GGA",
  "state": "relaxed",
  "polymorph_energy_mev_per_atom": 146,
  "dft_energy_ev_per_fu": -35.87,
  "e_form_ev_per_atom": -0.140,
  "lattice": [[2.3976, -3.1493, 3.0778], [-2.2619, -4.3215, 1.1607], [1.8278, 2.8932, -3.6644]],
  "species": ["Tc", "Tc", "P", "Mn"],
  "fractional_positions": [[0.7151, 0.7151, 0.0000], [0.2849, 0.2849, 0.0000], [0.5000, 0.0000, 0.5000], [0.0000, 0.5000, 0.5000]]
}


# 3
{
  "formula": "MnTc2P",
  "functional": "PBE-GGA",
  "state": "relaxed",
  "polymorph_energy_mev_per_atom": 368,
  "dft_energy_ev_per_fu": -34.98,
  "e_form_ev_per_atom": 0.082,
  "lattice": [[2.9633, 0.0000, 0.0000], [0.0000, 4.0440, 0.0000], [0.0000, 0.0000, 4.3441]],
  "species": ["P", "Tc", "Tc", "Mn"],
  "fractional_positions": [[0.0000, 0.5000, 0.5000], [0.5000, 0.0000, 0.5000], [0.0000, 0.0000, 0.0000], [0.5000, 0.5000, 0.0000]]
}